[1]
Here is a crystal of NaBe2Zn2 relaxed with PBEsol from Alexandria via LeMat-Bulk. Energies are from meta-GGA SCAN.

DOS at the Fermi energy, states/eV per atom: 0.314
Formation energy, eV/atom: 0.297
Raw total energy, eV/cell: -76.94
Volume, Å³/atom: 14.73

The structure in CIF format:
```
data_NaBe2Zn2
_chemical_formula_sum 'Na2 Be4 Zn4'
_space_group_name_H-M_alt 'I 4/m m m'
_space_group_IT_number 139
_space_group_name_Hall '-I 4 2'
_cell_length_a 4.208
_cell_length_b 4.208
_cell_length_c 8.321
_cell_angle_alpha 90.00
_cell_angle_beta 90.00
_cell_angle_gamma 90.00
loop_
_atom_site_label
_atom_site_fract_x
_atom_site_fract_y
_atom_site_fract_z
_atom_site_occupancy
Na1 0.000 0.000 0.000 1
Be1 0.000 0.000 0.369 1
Zn1 0.000 0.500 0.250 1
```

***

[2]
Here is a crystal of NaBe3Zn relaxed with PBEsol from Alexandria via LeMat-Bulk. Energies are from meta-GGA SCAN.

DOS at the Fermi energy, states/eV per atom: 0.376
Formation energy, eV/atom: 1.878
Raw total energy, eV/cell: -21.40
Volume, Å³/atom: 16.57

The structure in CIF format:
```
data_NaBe3Zn
_chemical_formula_sum 'Na1 Be3 Zn1'
_space_group_name_H-M_alt 'P m -3 m'
_space_group_IT_number 221
_space_group_name_Hall '-P 4 2 3'
_cell_length_a 4.359
_cell_length_b 4.359
_cell_length_c 4.359
_cell_angle_alpha 90.00
_cell_angle_beta 90.00
_cell_angle_gamma 90.00
loop_
_atom_site_label
_atom_site_fract_x
_atom_site_fract_y
_atom_site_fract_z
_atom_site_occupancy
Na1 0.000 0.000 0.000 1
Be1 0.000 0.000 0.500 1
Zn1 0.500 0.500 0.500 1
```

***

[3]
Here is a crystal of Be12Nb relaxed with PBEsol from Alexandria via LeMat-Bulk. Energies are from meta-GGA SCAN.

DOS at the Fermi energy, states/eV per atom: 0.200
Formation energy, eV/atom: -0.138
Raw total energy, eV/cell: -174.34
Volume, Å³/atom: 8.58

The structure in CIF format:
```
data_Be12Nb
_chemical_formula_sum 'Be24 Nb2'
_space_group_name_H-M_alt 'I 4/m m m'
_space_group_IT_number 139
_space_group_name_Hall '-I 4 2'
_cell_length_a 7.299
_cell_length_b 7.299
_cell_length_c 4.188
_cell_angle_alpha 90.00
_cell_angle_beta 90.00
_cell_angle_gamma 90.00
loop_
_atom_site_label
_atom_site_fract_x
_atom_site_fract_y
_atom_site_fract_z
_atom_site_occupancy
Be1 0.000 0.217 0.000 1
Be2 0.000 0.352 0.500 1
Be3 0.250 0.250 0.250 1
Nb1 0.000 0.000 0.500 1
```

***

> Which of these has the lowest DOS at the Fermi energy?

Be12Nb

***

> Number 2 is which compound?

NaBe3Zn

***

> Look up the volume of the first one.

14.73 Å³/atom